[1]
# Tb3Dy2Ho6

Tb3Dy2Ho6 after structural relaxation (PBE, Alexandria).

a = 3.5304 Å, b = 3.5304 Å, c = 94.8658 Å
α = 90.00°, β = 90.00°, γ = 120.00°
Last column: nearest neighbours and their distance in Å.
Space group R-3m (No. 166, hexagonal axes)
Asymmetric unit:
Tb 0.0000 0.0000 0.0000  6 Ho 3.53, 6 Tb 3.53
Tb 0.0000 0.0000 0.2726  6 Ho 3.53, 6 Tb 3.53
Dy 0.0000 0.0000 0.4547  6 Ho 3.52, 6 Dy 3.53
Ho 0.0000 0.0000 0.0911  3 Dy 3.52, 3 Tb 3.53, 6 Ho 3.53
Ho 0.0000 0.0000 0.1817  9 Ho 3.51-3.53, 3 Dy 3.52
Ho 0.0000 0.0000 0.3637  6 Tb 3.53, 6 Ho 3.53

Output
raw total energy	-4.58	eV per atom
DFT formation energy	0.02	eV per atom
density of states at the Fermi level	14.62	states/eV/f.u.

[2]
# NaAlTl2Pt

NaAlTl2Pt after structural relaxation (PBE, Alexandria).

a = 5.3877 Å, b = 5.3877 Å, c = 4.9551 Å
α = 90.00°, β = 90.00°, γ = 90.00°
Last column: nearest neighbours and their distance in Å.
Space group P4/mmm (No. 123)
Asymmetric unit:
Na 0.0000 0.0000 0.0000  2 Pt 2.48, 4 Tl 2.69
Al 0.5000 0.5000 0.5000  8 Tl 3.66, 4 Pt 3.81
Tl 0.0000 0.5000 0.0000  2 Na 2.69
Pt 0.0000 0.0000 0.5000  2 Na 2.48

Output
raw total energy	-2.39	eV per atom
DFT formation energy	0.78	eV per atom
density of states at the Fermi level	3.43	states/eV/f.u.

[3]
# Hf3TaTc

Hf3TaTc after structural relaxation (PBE, Alexandria).

a = 4.9703 Å, b = 4.9703 Å, c = 4.9703 Å
α = 90.00°, β = 90.00°, γ = 90.00°
Last column: nearest neighbours and their distance in Å.
Space group Pm-3m (No. 221)
Asymmetric unit:
Hf 0.0000 0.0000 0.5000  2 Ta 2.49
Ta 0.0000 0.0000 0.0000  6 Hf 2.49
Tc 0.5000 0.5000 0.5000  12 Hf 3.51

Output
raw total energy	-8.89	eV per atom
DFT formation energy	1.53	eV per atom
density of states at the Fermi level	6.21	states/eV/f.u.

[4]
# DyEr2ZrAs4

DyEr2ZrAs4 after structural relaxation (PBE, Alexandria).

a = 6.9740 Å, b = 4.0247 Å, c = 6.9764 Å
α = 90.00°, β = 109.29°, γ = 90.00°
Last column: nearest neighbours and their distance in Å.
Space group P2/m (No. 10)
Asymmetric unit:
Dy 0.0000 0.0000 0.0000  6 As 2.85-2.86
Er 0.5000 0.0000 0.5000  6 As 2.84
Er 0.5000 0.5000 0.0000  6 As 2.89-2.90
Zr 0.0000 0.5000 0.5000  6 As 2.80-2.81
As 0.2429 0.0000 0.7413  2 Zr 2.81, 3 Er 2.84-2.90, 1 Dy 2.85
As 0.2473 0.5000 0.2559  1 Zr 2.80, 3 Er 2.84-2.89, 2 Dy 2.86

Output
raw total energy	-6.53	eV per atom
DFT formation energy	-1.42	eV per atom
density of states at the Fermi level	1.41	states/eV/f.u.

[5]
# Li2Ac3GeO9

Li2Ac3GeO9 after structural relaxation (PBE, Alexandria).

a = 5.5663 Å, b = 5.5663 Å, c = 6.8690 Å
α = 90.00°, β = 90.00°, γ = 120.00°
Last column: nearest neighbours and their distance in Å.
Space group P-3m1 (No. 164)
Asymmetric unit:
Li 0.3333 0.6667 0.1874  6 O 1.97-2.06
Ac 0.0000 0.0000 0.0000  12 O 2.78-2.81
Ac 0.3333 0.6667 0.6795  12 O 2.73-2.86
Ge 0.0000 0.0000 0.5000  6 O 1.89
O 0.0000 0.5000 0.0000  2 Li 2.06
O 0.1605 0.3210 0.3410  1 Ge 1.89, 1 Li 1.97

Output
raw total energy	-6.70	eV per atom
density of states at the Fermi level	8.10	states/eV/f.u.
raw formation energy	-2.3363	eV per atom

[6]
# Cu12H5Rh3

Cu12H5Rh3 after structural relaxation (PBE, Alexandria).

a = 12.0833 Å, b = 12.0833 Å, c = 12.0833 Å
α = 90.00°, β = 90.00°, γ = 90.00°
Last column: nearest neighbours and their distance in Å.
Space group Ia-3d (No. 230)
Asymmetric unit:
Cu 0.0462 0.1415 0.9510  2 H 1.70-1.89
H 0.0000 0.0000 0.0000  6 Cu 1.89
H 0.0000 0.2500 0.3750  4 Cu 1.70
Rh 0.0000 0.2500 0.1250  8 Cu 2.54

Output
raw total energy	-4.05	eV per atom
density of states at the Fermi level	7.87	states/eV/f.u.

[7]
# TbPaVN4

TbPaVN4 after structural relaxation (PBE, Alexandria).

a = 5.7803 Å, b = 5.4624 Å, c = 6.6280 Å
α = 90.00°, β = 108.35°, γ = 90.00°
Last column: nearest neighbours and their distance in Å.
Space group P2_1/m (No. 11)
Asymmetric unit:
Tb 0.2085 0.2500 0.4267  2 N 2.37
Pa 0.2828 0.2500 0.9478  6 N 2.31-2.48
V 0.2614 0.7500 0.1986  4 N 1.81-1.85
N 0.0494 0.7500 0.3571  1 V 1.85
N 0.0573 0.7500 0.9272  1 V 1.81
N 0.4787 0.5020 0.2308  1 V 1.81

Output
raw total energy	-9.29	eV per atom
density of states at the Fermi level	4.89	states/eV/f.u.
raw formation energy	-1.2168	eV per atom

[8]
# K2TlPt

K2TlPt after structural relaxation (PBE, Alexandria).

a = 4.7082 Å, b = 4.7592 Å, c = 10.3432 Å
α = 90.00°, β = 90.00°, γ = 90.00°
Last column: nearest neighbours and their distance in Å.
Space group Immm (No. 71)
Asymmetric unit:
K 0.0000 0.0000 0.2476  4 K 3.35, 4 Pt 3.48-3.53, 4 Tl 3.50-3.51
Tl 0.0000 0.5000 0.0000  4 Pt 3.35, 8 K 3.50-3.51
Pt 0.0000 0.5000 0.5000  4 Tl 3.35, 8 K 3.48-3.53

Output
raw total energy	-2.54	eV per atom
DFT formation energy	0.11	eV per atom
density of states at the Fermi level	1.79	states/eV/f.u.

[9]
# KSmTiS4

KSmTiS4 after structural relaxation (PBE, Alexandria).

a = 6.7301 Å, b = 6.7435 Å, c = 8.8309 Å
α = 90.00°, β = 107.62°, γ = 90.00°
Last column: nearest neighbours and their distance in Å.
Space group P2_1/m (No. 11)
Asymmetric unit:
K 0.2276 0.2500 0.4364  6 S 3.19-3.55
Sm 0.2834 0.2500 0.9505  6 S 2.84-2.89
Ti 0.2661 0.7500 0.1746  4 S 2.22-2.28
S 0.0597 0.7500 0.3319  1 Ti 2.24
S 0.0632 0.7500 0.9234  1 Ti 2.22
S 0.4994 0.0043 0.2104  1 Ti 2.28

Output
raw total energy	-5.92	eV per atom
density of states at the Fermi level	0.00	states/eV/f.u.
raw formation energy	-1.6020	eV per atom

[10]
# NiTeOs2

NiTeOs2 after structural relaxation (PBE, Alexandria).

a = 3.8616 Å, b = 3.8616 Å, c = 18.3920 Å
α = 90.00°, β = 90.00°, γ = 90.00°
Last column: nearest neighbours and their distance in Å.
Space group I-42d (No. 122)
Asymmetric unit:
Ni 0.0000 0.0000 0.0000  4 Os 2.60, 4 Te 2.73
Te 0.0000 0.0000 0.5000  4 Ni 2.73, 4 Os 2.77
Os 0.1883 0.2500 0.1250  2 Os 2.42, 2 Ni 2.60

Output
raw total energy	-7.11	eV per atom
density of states at the Fermi level	5.44	states/eV/f.u.
raw formation energy	0.7379	eV per atom

[11]
# BaSn2GePt5

BaSn2GePt5 after structural relaxation (PBE, Alexandria).

a = 4.8190 Å, b = 5.8114 Å, c = 14.2912 Å
α = 90.00°, β = 90.00°, γ = 90.00°
Last column: nearest neighbours and their distance in Å.
Space group Immm (No. 71)
Asymmetric unit:
Ba 0.0000 0.0000 0.0000  2 Pt 2.91
Sn 0.0000 0.5000 0.1942  7 Pt 2.67-2.88
Ge 0.0000 0.0000 0.5000  6 Pt 2.41-2.58
Pt 0.0000 0.2475 0.3502  1 Ge 2.58, 3 Sn 2.67-2.88, 1 Pt 2.88
Pt 0.0000 0.5000 0.0000  2 Ge 2.41

Output
raw total energy	-5.39	eV per atom
DFT formation energy	-0.42	eV per atom
density of states at the Fermi level	4.32	states/eV/f.u.

[12]
# ZrInGaBr6

ZrInGaBr6 after structural relaxation (PBE, Alexandria).

a = 7.5688 Å, b = 7.5688 Å, c = 13.4797 Å
α = 90.00°, β = 90.00°, γ = 120.00°
Last column: nearest neighbours and their distance in Å.
Space group P-31c (No. 163)
Asymmetric unit:
Zr 0.3333 0.6667 0.2500  6 Br 2.66
In 0.0000 0.0000 0.0000  6 Br 3.32
Ga 0.3333 0.6667 0.7500  6 Br 3.08
Br 0.0416 0.3840 0.1362  1 Zr 2.66

Output
raw total energy	-3.76	eV per atom
density of states at the Fermi level	0.00	states/eV/f.u.
raw formation energy	-1.0507	eV per atom

[13]
# Er5Cd4Ir

Er5Cd4Ir after structural relaxation (PBE, Alexandria).

a = 3.5788 Å, b = 3.5788 Å, c = 18.9357 Å
α = 90.00°, β = 90.00°, γ = 90.00°
Last column: nearest neighbours and their distance in Å.
Space group P4/mmm (No. 123)
Asymmetric unit:
Er 0.0000 0.0000 0.0000  8 Cd 3.19
Er 0.0000 0.0000 0.2061  8 Cd 3.18-3.20
Er 0.0000 0.0000 0.4167  4 Ir 2.98, 1 Er 3.15, 4 Cd 3.27
Cd 0.5000 0.5000 0.1027  8 Er 3.19-3.20
Cd 0.5000 0.5000 0.3076  8 Er 3.18-3.27
Ir 0.5000 0.5000 0.5000  8 Er 2.98

Output
raw total energy	-3.98	eV per atom
DFT formation energy	-0.44	eV per atom
density of states at the Fermi level	6.73	states/eV/f.u.

[14]
# Cu4Rh3

Cu4Rh3 after structural relaxation (PBE, Alexandria).

a = 2.7129 Å, b = 2.7129 Å, c = 24.8599 Å
α = 90.00°, β = 90.00°, γ = 90.00°
Last column: nearest neighbours and their distance in Å.
Space group I4/mmm (No. 139)
Asymmetric unit:
Cu 0.0000 0.0000 0.0722  8 Cu 2.53-2.71, 4 Rh 2.63
Cu 0.0000 0.0000 0.3614  8 Cu 2.53-2.71, 4 Rh 2.67
Rh 0.0000 0.0000 0.2130  8 Rh 2.66-2.71, 4 Cu 2.67
Rh 0.0000 0.0000 0.5000  8 Cu 2.63, 4 Rh 2.71

Output
raw total energy	-5.44	eV per atom
DFT formation energy	0.05	eV per atom
density of states at the Fermi level	7.68	states/eV/f.u.

[15]
# Ac6Rh2SBr2

Ac6Rh2SBr2 after structural relaxation (PBE, Alexandria).

a = 7.8491 Å, b = 13.0440 Å, c = 8.0292 Å
α = 90.00°, β = 107.53°, γ = 90.00°
Last column: nearest neighbours and their distance in Å.
Space group C2/m (No. 12)
Asymmetric unit:
Ac 0.2052 0.0000 0.2140  2 Rh 2.97, 1 S 3.27
Ac 0.2412 0.3309 0.2084  2 Rh 2.97-3.00, 1 S 3.06
Rh 0.0000 0.1709 0.0000  6 Ac 2.97-3.00
S 0.0000 0.5000 0.0000  6 Ac 3.06-3.27
Br 0.0000 0.3391 0.5000  6 Ac 3.41-3.44

Output
raw total energy	-5.36	eV per atom
density of states at the Fermi level	6.79	states/eV/f.u.
raw formation energy	-1.1062	eV per atom

[16]
# K2Tm2NpS6

K2Tm2NpS6 after structural relaxation (PBE, Alexandria).

a = 6.8854 Å, b = 11.9241 Å, c = 7.8763 Å
α = 90.00°, β = 107.16°, γ = 90.00°
Last column: nearest neighbours and their distance in Å.
Space group C2/m (No. 12)
Asymmetric unit:
K 0.0000 0.1682 0.0000  6 S 3.24-3.25
Tm 0.0000 0.3337 0.5000  6 S 2.71-2.73
Np 0.0000 0.0000 0.5000  6 S 2.70-2.71
S 0.2300 0.1667 0.6937  1 Np 2.71, 2 Tm 2.71-2.73
S 0.2355 0.5000 0.6935  1 Np 2.70, 2 Tm 2.73

Output
raw total energy	-6.16	eV per atom
density of states at the Fermi level	5.86	states/eV/f.u.
raw formation energy	-1.7240	eV per atom

[17]
# RbNa5Tl7

RbNa5Tl7 after structural relaxation (PBE, Alexandria).

a = 6.3032 Å, b = 11.3912 Å, c = 11.2861 Å
α = 90.00°, β = 90.00°, γ = 90.00°
Last column: nearest neighbours and their distance in Å.
Space group Imm2 (No. 44)
Asymmetric unit:
Rb 0.0000 0.0000 0.0000  10 Tl 4.00-4.09, 10 Na 4.09-4.42
Na 0.0000 0.5000 0.7309  4 Na 3.33, 6 Tl 3.48-3.57
Na 0.2481 0.2552 0.2600  3 Na 3.13-3.33, 7 Tl 3.21-3.50
Tl 0.0000 0.0000 0.3622  3 Tl 3.17-3.55, 6 Na 3.48-3.50
Tl 0.0000 0.0000 0.6432  5 Tl 3.17-3.52, 4 Na 3.47
Tl 0.0000 0.2751 0.5101  5 Na 3.23-3.57, 4 Tl 3.47-3.55
Tl 0.0000 0.3577 0.0086  4 Tl 3.24-3.50, 5 Na 3.44-3.53
Tl 0.0000 0.5000 0.2822  4 Na 3.21, 4 Tl 3.49-3.52

Output
raw total energy	-1.94	eV per atom
DFT formation energy	-0.08	eV per atom
density of states at the Fermi level	5.22	states/eV/f.u.

[18]
# Hg2OsCl

Hg2OsCl after structural relaxation (PBE, Alexandria).

a = 4.1303 Å, b = 4.1303 Å, c = 9.4444 Å
α = 90.00°, β = 90.00°, γ = 90.00°
Last column: nearest neighbours and their distance in Å.
Space group I-4m2 (No. 119)
Asymmetric unit:
Hg 0.0000 0.0000 0.0000  4 Cl 2.92, 4 Hg 3.14, 4 Os 3.14
Hg 0.0000 0.5000 0.2500  4 Os 2.92, 4 Hg 3.14, 4 Cl 3.14
Os 0.0000 0.5000 0.7500  8 Hg 2.92-3.14, 4 Cl 3.14
Cl 0.0000 0.0000 0.5000  8 Hg 2.92-3.14, 4 Os 3.14

Output
raw total energy	-2.37	eV per atom
density of states at the Fermi level	4.11	states/eV/f.u.
raw formation energy	1.0470	eV per atom

[19]
# ZrMnAlRe

ZrMnAlRe after structural relaxation (PBE, Alexandria).

a = 6.3555 Å, b = 6.3555 Å, c = 6.3555 Å
α = 90.00°, β = 90.00°, γ = 90.00°
Last column: nearest neighbours and their distance in Å.
Space group F-43m (No. 216)
Asymmetric unit:
Zr 0.0000 0.0000 0.0000  4 Mn 2.75, 4 Re 2.75
Mn 0.2500 0.2500 0.2500  4 Zr 2.75, 4 Al 2.75
Al 0.0000 0.0000 0.5000  4 Mn 2.75, 4 Re 2.75
Re 0.2500 0.2500 0.7500  4 Zr 2.75, 4 Al 2.75

Output
raw total energy	-8.63	eV per atom
DFT formation energy	-0.16	eV per atom
density of states at the Fermi level	0.79	states/eV/f.u.

[20]
# ScCrIn

ScCrIn after structural relaxation (PBE, Alexandria).

a = 6.6600 Å, b = 6.6600 Å, c = 6.6600 Å
α = 90.00°, β = 90.00°, γ = 90.00°
Last column: nearest neighbours and their distance in Å.
Space group F-43m (No. 216)
Asymmetric unit:
Sc 0.0000 0.0000 0.0000  4 Cr 2.88, 4 In 2.88
Cr 0.2500 0.2500 0.2500  4 Sc 2.88
In 0.2500 0.2500 0.7500  4 Sc 2.88

Output
raw total energy	-5.63	eV per atom
DFT formation energy	0.60	eV per atom
density of states at the Fermi level	1.87	states/eV/f.u.